## LiAl2CdS4 (PBE)

Data for a relaxed structure of LiAl2CdS4.

- E_form (uncorrected) (eV/atom) = -0.8658
- symmetry = Fmm2, No. 42
- crystal system = orthorhombic
- final energy (eV per cell) = -33.8

Lattice parameters (Å, degrees): 6.9282 6.6653 5.6589 67.84 63.00 49.15
With the nearest neighbours (Å) after each atom.
Atoms (fractional coordinates):
Li  0.0000  0.0000  0.0000  4 S 2.43-2.50
Al  0.2413  0.2413  0.2587  4 S 2.35-2.36
Al  0.7413  0.7413  0.7587  4 S 2.35-2.36
Cd  0.4983  0.4983  0.5017  4 S 2.56-2.58
S  0.1137  0.6268  0.3732  2 Al 2.36, 1 Li 2.50, 1 Cd 2.58
S  0.3870  0.9074  0.6130  2 Al 2.35, 1 Li 2.43, 1 Cd 2.56
S  0.6268  0.1137  0.8863  2 Al 2.36, 1 Li 2.50, 1 Cd 2.58
S  0.9074  0.3870  0.0926  2 Al 2.35, 1 Li 2.43, 1 Cd 2.56

=====

## LiScAlCd (PBE)

Data for a relaxed structure of LiScAlCd.

- symmetry = F-43m, No. 216
- crystal system = cubic
- final energy (eV per cell) = -13.9
- energy of formation from the pure elements (meV per atom) = -247.4

Lattice parameters (Å, degrees): 4.7701 4.7701 4.7701 60.00 60.00 60.00
With the nearest neighbours (Å) after each atom.
Atoms (fractional coordinates):
Li  0.0000  0.0000  0.0000  4 Cd 2.92, 4 Al 2.92
Sc  0.5000  0.5000  0.5000  4 Cd 2.92, 4 Al 2.92
Al  0.2500  0.2500  0.2500  4 Sc 2.92, 4 Li 2.92
Cd  0.7500  0.7500  0.7500  4 Sc 2.92, 4 Li 2.92

=====

## LiAlCd2Se4 (PBE)

Data for a relaxed structure of LiAlCd2Se4.

- E_form (uncorrected) (eV/atom) = -0.8569
- symmetry = I-4, No. 82
- crystal system = tetragonal
- final energy (eV per cell) = -28.3

Lattice parameters (Å, degrees): 7.3128 7.3128 7.3128 132.02 132.02 70.19
With the nearest neighbours (Å) after each atom.
Atoms (fractional coordinates):
Li  0.0000  0.0000  0.0000  4 Se 2.54
Al  0.2500  0.7500  0.5000  4 Se 2.42
Cd  0.5000  0.5000  0.0000  4 Se 2.68
Cd  0.7500  0.2500  0.5000  4 Se 2.70
Se  0.1310  0.6516  0.0396  1 Al 2.42, 1 Li 2.54, 2 Cd 2.68-2.70
Se  0.3484  0.3880  0.4794  1 Al 2.42, 1 Li 2.54, 2 Cd 2.68-2.70
Se  0.6120  0.0914  0.9604  1 Al 2.42, 1 Li 2.54, 2 Cd 2.68-2.70
Se  0.9086  0.8690  0.5206  1 Al 2.42, 1 Li 2.54, 2 Cd 2.68-2.70

=====

## LiSmAlCd (PBE)

Data for a relaxed structure of LiSmAlCd.

- symmetry = F-43m, No. 216
- crystal system = cubic
- final energy (eV per cell) = -12.4
- energy of formation from the pure elements (meV per atom) = -265.0

Lattice parameters (Å, degrees): 4.9156 4.9156 4.9156 60.00 60.00 60.00
With the nearest neighbours (Å) after each atom.
Atoms (fractional coordinates):
Li  0.0000  0.0000  0.0000  4 Cd 3.01, 4 Sm 3.01
Sm  0.2500  0.2500  0.2500  4 Al 3.01, 4 Li 3.01
Al  0.5000  0.5000  0.5000  4 Sm 3.01, 4 Cd 3.01
Cd  0.7500  0.7500  0.7500  4 Al 3.01, 4 Li 3.01

=====

## SrLiAlCd3 (PBE)

Data for a relaxed structure of SrLiAlCd3.

- symmetry = Cmcm, No. 63
- crystal system = orthorhombic
- final energy (eV per cell) = -22.0
- energy of formation from the pure elements (meV per atom) = -152.1

Lattice parameters (Å, degrees): 7.4166 7.4166 6.4077 90.00 90.00 124.68
With the nearest neighbours (Å) after each atom.
Atoms (fractional coordinates):
Sr  0.2142  0.7857  0.7500  1 Li 2.99, 2 Al 3.35
Sr  0.7857  0.2142  0.2500  1 Li 2.99, 2 Al 3.35
Li  0.4420  0.5580  0.7500  5 Cd 2.66-2.69
Li  0.5580  0.4420  0.2500  5 Cd 2.66-2.69
Al  0.1409  0.8591  0.2500  5 Cd 2.79-2.85
Al  0.8591  0.1409  0.7500  5 Cd 2.79-2.85
Cd  0.2131  0.2131  0.0000  2 Li 2.66, 2 Al 2.85, 1 Cd 2.94
Cd  0.2131  0.2131  0.5000  2 Li 2.66, 2 Al 2.85, 1 Cd 2.94
Cd  0.3536  0.6464  0.2500  1 Li 2.69, 1 Al 2.79
Cd  0.6464  0.3536  0.7500  1 Li 2.69, 1 Al 2.79
Cd  0.7869  0.7869  0.0000  2 Li 2.66, 2 Al 2.85, 1 Cd 2.94
Cd  0.7869  0.7869  0.5000  2 Li 2.66, 2 Al 2.85, 1 Cd 2.94

=====

## Sr2Li2AlCd5 (PBE)

Data for a relaxed structure of Sr2Li2AlCd5.

- symmetry = P4/mbm, No. 127
- crystal system = tetragonal
- final energy (eV per cell) = -34.5
- energy of formation from the pure elements (meV per atom) = -176.2

Lattice parameters (Å, degrees): 11.5567 11.5567 3.6548 90.00 90.00 90.00
With the nearest neighbours (Å) after each atom.
Atoms (fractional coordinates):
Sr  0.1811  0.3189  0.0000  1 Li 3.19, 6 Cd 3.48-3.56
Sr  0.3189  0.8189  0.0000  1 Li 3.19, 6 Cd 3.48-3.56
Sr  0.6811  0.1811  0.0000  1 Li 3.19, 6 Cd 3.48-3.56
Sr  0.8189  0.6811  0.0000  1 Li 3.19, 6 Cd 3.48-3.56
Li  0.1235  0.6235  0.0000  6 Cd 2.72-2.93
Li  0.3765  0.1235  0.0000  6 Cd 2.72-2.93
Li  0.6235  0.8765  0.0000  6 Cd 2.72-2.93
Li  0.8765  0.3765  0.0000  6 Cd 2.72-2.93
Al  0.0000  0.0000  0.0000  8 Cd 2.93
Al  0.5000  0.5000  0.0000  8 Cd 2.93
Cd  0.0000  0.5000  0.5000  4 Li 2.72
Cd  0.0510  0.8080  0.5000  2 Li 2.93, 2 Al 2.93, 2 Cd 3.25
Cd  0.1920  0.0510  0.5000  2 Li 2.93, 2 Al 2.93, 2 Cd 3.25
Cd  0.3080  0.5510  0.5000  2 Li 2.93, 2 Al 2.93, 2 Cd 3.25
Cd  0.4490  0.3080  0.5000  2 Li 2.93, 2 Al 2.93, 2 Cd 3.25
Cd  0.5000  0.0000  0.5000  4 Li 2.72
Cd  0.5510  0.6920  0.5000  2 Li 2.93, 2 Al 2.93, 2 Cd 3.25
Cd  0.6920  0.4490  0.5000  2 Li 2.93, 2 Al 2.93, 2 Cd 3.25
Cd  0.8080  0.9490  0.5000  2 Li 2.93, 2 Al 2.93, 2 Cd 3.25
Cd  0.9490  0.1920  0.5000  2 Li 2.93, 2 Al 2.93, 2 Cd 3.25

=====

## SrLiAlCd (PBE)

Data for a relaxed structure of SrLiAlCd.

- symmetry = F-43m, No. 216
- crystal system = cubic
- final energy (eV per cell) = -8.9
- energy of formation from the pure elements (meV per atom) = -156.1

Lattice parameters (Å, degrees): 5.1140 5.1140 5.1140 60.00 60.00 60.00
With the nearest neighbours (Å) after each atom.
Atoms (fractional coordinates):
Sr  0.0000  0.0000  0.0000  4 Cd 3.13, 4 Li 3.13
Li  0.2500  0.2500  0.2500  4 Al 3.13, 4 Sr 3.13
Al  0.5000  0.5000  0.5000  4 Cd 3.13, 4 Li 3.13
Cd  0.7500  0.7500  0.7500  4 Sr 3.13, 4 Al 3.13

=====

## Sr2LiAlCd6 (PBE)

Data for a relaxed structure of Sr2LiAlCd6.

- symmetry = C2/m, No. 12
- crystal system = monoclinic
- final energy (eV per cell) = -15.7
- energy of formation from the pure elements (meV per atom) = -117.7

Lattice parameters (Å, degrees): 7.2631 7.2631 7.0931 119.07 119.07 90.36
With the nearest neighbours (Å) after each atom.
Atoms (fractional coordinates):
Sr  0.2056  0.7944  0.0000  12 Cd 3.59-3.73
Sr  0.7944  0.2056  0.0000  12 Cd 3.59-3.73
Li  0.5000  0.5000  0.5000  6 Cd 2.47-2.51
Al  0.0000  0.0000  0.5000  6 Cd 2.68-2.70
Cd  0.2601  0.7399  0.5000  1 Li 2.47, 1 Al 2.68
Cd  0.2967  0.2967  0.0151  1 Li 2.51, 1 Al 2.70
Cd  0.2997  0.2997  0.5847  1 Li 2.50, 1 Al 2.69
Cd  0.7003  0.7003  0.4153  1 Li 2.50, 1 Al 2.69
Cd  0.7033  0.7033  0.9849  1 Li 2.51, 1 Al 2.70
Cd  0.7399  0.2601  0.5000  1 Li 2.47, 1 Al 2.68